5
Lattice="5.017 0.000 0.000 0.000 5.017 0.000 0.000 0.000 5.017" Properties=species:S:1:pos:R:3 comment="AcTaGe3 (GGA-PBE, optimized geometry)" spacegroup="Pm-3m (221)" ef_ev_per_fu=-1.10 polymorph_energy_ev_per_fu=1.50 rho_g_cm3=8.23 pbc="T T T"
Ac 2.509 2.509 2.509
Ge 0.000 2.509 0.000
Ge 0.000 0.000 2.509
Ge 2.509 0.000 0.000
Ta 0.000 0.000 0.000

---

9
Lattice="5.268 0.000 3.041 1.756 4.967 3.041 0.000 0.000 6.083" Properties=species:S:1:pos:R:3 comment="K2SrH6 (GGA-PBE, optimized geometry)" spacegroup="Fm-3m (225)" dft_energy_ev_per_atom=-2.2781 rho_g_cm3=1.79 pbc="T T T"
Sr 0.000 0.000 0.000
K 5.268 3.725 9.124
K 1.756 1.242 3.041
H 2.728 3.592 4.725
H 4.296 1.375 4.725
H 2.728 3.592 7.441
H 4.296 1.375 7.441
H 5.080 3.592 6.083
H 1.944 1.375 6.083

---

4
Lattice="-2.739 -2.052 -1.116 -0.047 -3.515 0.773 -6.593 0.375 9.686" Properties=species:S:1:pos:R:3 comment="LaTh2Tl (GGA-PBE, optimized geometry)" spacegroup="R3m (160)" ef_ev_per_fu=0.14 polymorph_energy_ev_per_fu=0.52 rho_g_cm3=10.36 pbc="T T T"
La -4.674 -2.602 4.646
Th -5.246 -0.155 7.356
Th -2.282 -1.323 2.227
Tl -1.866 -3.708 -0.212

---

4
Lattice="3.802 0.000 0.000 0.000 3.802 0.000 0.000 0.000 7.861" Properties=species:S:1:pos:R:3 comment="PuTh2Hg (GGA-PBE, optimized geometry)" spacegroup="P4/mmm (123)" ef_ev_per_fu=-0.02 polymorph_energy_ev_per_fu=0.32 rho_g_cm3=13.28 pbc="T T T"
Hg 1.901 1.901 0.000
Th 0.000 0.000 5.877
Th 0.000 0.000 1.984
Pu 1.901 1.901 3.931

---

4
Lattice="0.000 3.413 3.413 3.413 0.000 3.413 3.413 3.413 0.000" Properties=species:S:1:pos:R:3 comment="Mg2ZrV (GGA-PBE, optimized geometry)" spacegroup="Fm-3m (225)" ef_ev_per_fu=1.44 polymorph_energy_ev_per_fu=0.00 rho_g_cm3=3.98 pbc="T T T"
Mg 1.707 1.707 1.707
Mg 5.120 5.120 5.120
Zr 3.413 3.413 3.413
V 0.000 0.000 0.000

---

6
Lattice="-1.561 3.705 -0.635 -2.569 -0.904 1.041 4.186 -1.106 9.372" Properties=species:S:1:pos:R:3 comment="MgTcGe (GGA-PBE, optimized geometry)" spacegroup="Imm2 (44)" ef_ev_per_fu=0.17 polymorph_energy_ev_per_fu=0.66 rho_g_cm3=5.75 pbc="T T T"
Mg 0.258 3.105 3.334
Mg 1.067 2.100 8.540
Tc 0.400 0.622 1.527
Tc 1.208 -0.383 6.733
Ge 1.669 1.878 5.750
Ge -1.709 1.980 1.585